No. 1
## FeTc2Hg (PBE-GGA)

Data for FeTc2Hg after structural relaxation.

abc: 9.1109 2.8674 4.8697
angles: 90.00 101.05 90.00
With the nearest neighbours (Å) after each atom.
Space group Cm (No. 8)
One atom of each set of equivalent atoms:
Fe 0.0000 0.0000 0.0000 (multiplicity 2)  5 Tc 2.52-2.81, 1 Hg 2.77
Tc 0.2416 0.5000 0.2348 (multiplicity 2)  5 Tc 2.65-2.87, 3 Fe 2.69-2.81, 4 Hg 2.82-2.83
Tc 0.4845 0.0000 0.4197 (multiplicity 2)  2 Fe 2.52, 3 Tc 2.65-2.67
Hg 0.2442 0.0000 0.7359 (multiplicity 2)  3 Fe 2.77-2.83, 7 Tc 2.82-2.94, 2 Hg 2.87

E_tot = -6.92 eV/atom
M_tot = 4.93 Bohr magnetons per cell
formation energy from the elements = 0.46 eV per atom



No. 2
## Y4Er4In (PBE-GGA)

Data for Y4Er4In after structural relaxation.

abc: 10.6413 10.6413 4.8198
angles: 90.00 90.00 90.00
With the nearest neighbours (Å) after each atom.
Space group I4/mmm (No. 139)
One atom of each set of equivalent atoms:
Y 0.1611 0.1611 0.0000 (multiplicity 8)  2 In 3.42, 4 Y 3.43-3.60, 6 Er 3.50-3.61
Er 0.0000 0.3375 0.5000 (multiplicity 8)  5 Er 3.43-3.46, 6 Y 3.50-3.61, 1 In 3.59
In 0.0000 0.0000 0.5000 (multiplicity 2)  8 Y 3.42, 4 Er 3.59

E_tot = -5.28 eV/atom
M_tot = 0.00 Bohr magnetons per cell
formation energy from the elements = -0.08 eV per atom



No. 3
## ThZrGa4 (PBE-GGA)

Data for ThZrGa4 after structural relaxation.

abc: 7.7914 7.7914 7.7914
angles: 90.00 90.00 90.00
With the nearest neighbours (Å) after each atom.
Space group F-43m (No. 216)
One atom of each set of equivalent atoms:
Th 0.0000 0.0000 0.0000 (multiplicity 4)  12 Ga 3.23, 4 Zr 3.37
Zr 0.2500 0.2500 0.7500 (multiplicity 4)  12 Ga 3.23, 4 Th 3.37
Ga 0.1247 0.1247 0.3753 (multiplicity 16)  6 Ga 2.75-2.76

E_tot = -5.08 eV/atom
M_tot = 0.00 Bohr magnetons per cell
formation energy from the elements = -0.40 eV per atom



No. 4
## Te2RhW (PBE-GGA)

Data for Te2RhW after structural relaxation.

abc: 9.7340 3.4429 4.7553
angles: 90.00 101.45 90.00
With the nearest neighbours (Å) after each atom.
Space group Cm (No. 8)
One atom of each set of equivalent atoms:
Te 0.0000 0.0000 0.0000 (multiplicity 2)  3 Rh 2.63-2.87, 2 W 2.74
Te 0.2406 0.0000 0.5792 (multiplicity 2)  3 W 2.78-2.83, 4 Rh 2.91-2.96
Rh 0.2411 0.5000 0.0854 (multiplicity 2)  5 Te 2.63-2.91
W 0.0125 0.5000 0.4530 (multiplicity 2)  5 Te 2.74-2.83

E_tot = -6.27 eV/atom
M_tot = 0.00 Bohr magnetons per cell
uncorrected formation energy = 0.374 eV per atom